[1]
# NdYTm2Sc GGA-PBE optimized geometry
# Fermi-level density of states ... 8.2 states/eV/f.u.
data_NdYTm2Sc
_chemical_formula_sum 'Nd4 Y4 Tm8 Sc4'
_symmetry_space_group_name_H-M 'C m c m'
_symmetry_Int_Tables_number 63
_symmetry_space_group_name_Hall '-C 2c 2'
_cell_length_a 6.2059
_cell_length_b 16.8796
_cell_length_c 6.2036
_cell_angle_alpha 90.00
_cell_angle_beta 90.00
_cell_angle_gamma 90.00
loop_
_atom_site_label
_atom_site_type_symbol
_atom_site_fract_x
_atom_site_fract_y
_atom_site_fract_z
Nd1 Nd 0.0000 0.1587 0.2500
Y1 Y 0.0000 0.3426 0.2500
Tm1 Tm 0.2501 0.0000 0.0000
Sc1 Sc 0.0000 0.2480 0.7500

***

[2]
# NdY4Tm2Sc GGA-PBE optimized geometry
# Fermi-level density of states ... 17.6 states/eV/f.u.
data_NdY4Tm2Sc
_chemical_formula_sum 'Nd4 Y16 Tm8 Sc4'
_symmetry_space_group_name_H-M 'C 1 2/c 1'
_symmetry_Int_Tables_number 15
_cell_length_a 13.4713
_cell_length_b 13.1043
_cell_length_c 6.7530
_cell_angle_alpha 90.00
_cell_angle_beta 120.07
_cell_angle_gamma 90.00
loop_
_symmetry_equiv_pos_as_xyz
'x,y,z'
'-x,-y,-z'
'-x,y,-z+1/2'
'x,-y,z+1/2'
'x+1/2,y+1/2,z'
'-x+1/2,-y+1/2,-z'
'-x+1/2,y+1/2,-z+1/2'
'x+1/2,-y+1/2,z+1/2'
loop_
_atom_site_label
_atom_site_type_symbol
_atom_site_fract_x
_atom_site_fract_y
_atom_site_fract_z
Nd1 Nd 0.2500 0.2500 0.0000
Y1 Y 0.0000 0.2421 0.0017
Y2 Y 0.2404 0.0028 0.4890
Tm1 Tm 0.0000 0.5000 0.0000
Tm2 Tm 0.2500 0.2500 0.5000
Sc1 Sc 0.0000 0.0000 0.0000

***

[3]
# NdY2TmSc4 GGA-PBE optimized geometry
# Fermi-level density of states ... 16.7 states/eV/f.u.
data_NdY2TmSc4
_chemical_formula_sum 'Nd4 Y8 Tm4 Sc16'
_symmetry_space_group_name_H-M 'I m m a'
_symmetry_Int_Tables_number 74
_symmetry_space_group_name_Hall '-I 2b 2'
_cell_length_a 6.5494
_cell_length_b 11.3098
_cell_length_c 12.6598
_cell_angle_alpha 90.00
_cell_angle_beta 90.00
_cell_angle_gamma 90.00
loop_
_atom_site_label
_atom_site_type_symbol
_atom_site_fract_x
_atom_site_fract_y
_atom_site_fract_z
Nd1 Nd 0.0000 0.0000 0.0000
Y1 Y 0.0000 0.0000 0.5000
Y2 Y 0.2500 0.2500 0.2500
Tm1 Tm 0.2500 0.2500 0.7500
Sc1 Sc 0.0000 0.0040 0.7512
Sc2 Sc 0.2488 0.2500 0.9974

***

no.,formation enthalpy at 0 K (eV/atom),raw total energy (eV/cell),total magnetization (μB per cell)
1,0.406,-97.9,0.029
2,0.441,-169.5,13.026
3,0.438,-176.0,15.231